# 1
Material: LaTl2SbOs
Method: DFT, PBE-GGA
State: optimized geometry

a b c (Å): 5.2800 5.2800 5.1826
angles (deg): 90.00 90.00 90.00
Space group P4/mmm (No. 123)
Inequivalent atoms, fractional coordinates:
La 0.0000 0.0000 0.0000 (multiplicity 1)
Tl 0.0000 0.5000 0.5000 (multiplicity 2)
Sb 0.5000 0.5000 0.0000 (multiplicity 1)
Os 0.5000 0.5000 0.5000 (multiplicity 1)

Summary:
energy relative to the elements, uncorrected: 0.266 eV per atom

***

# 2
Material: LaSc3Os
Method: DFT, PBE-GGA
State: optimized geometry

a b c (Å): 5.1281 5.1281 5.1281
angles (deg): 90.00 90.00 90.00
Space group Pm-3m (No. 221)
Inequivalent atoms, fractional coordinates:
La 0.0000 0.0000 0.0000 (multiplicity 1)
Sc 0.0000 0.5000 0.5000 (multiplicity 3)
Os 0.5000 0.5000 0.5000 (multiplicity 1)

Summary:
energy relative to the elements: -0.116 eV per atom

***

# 3
Material: LaScOs3
Method: DFT, PBE-GGA
State: optimized geometry

a b c (Å): 4.8306 4.8306 4.8306
angles (deg): 90.00 90.00 90.00
Space group Pm-3m (No. 221)
Inequivalent atoms, fractional coordinates:
La 0.0000 0.0000 0.0000 (multiplicity 1)
Sc 0.5000 0.5000 0.5000 (multiplicity 1)
Os 0.0000 0.0000 0.5000 (multiplicity 3)

Summary:
energy relative to the elements: 2.117 eV per atom

***

# 4
Material: La2ScOs
Method: DFT, PBE-GGA
State: optimized geometry

a b c (Å): 12.6046 3.5753 5.3267
angles (deg): 90.00 114.97 90.00
Space group Cm (No. 8)
Inequivalent atoms, fractional coordinates:
La 0.0000 0.0000 0.0000 (multiplicity 2)
La 0.1969 0.0000 0.6971 (multiplicity 2)
Sc 0.3148 0.5000 0.3148 (multiplicity 2)
Os 0.4859 0.0000 0.4851 (multiplicity 2)

Summary:
energy relative to the elements: -0.055 eV per atom

***

# 5
Material: La2ScOs
Method: DFT, PBE-GGA
State: optimized geometry

a b c (Å): 5.1431 5.1431 3.7967
angles (deg): 90.00 90.00 90.00
Space group P4/mmm (No. 123)
Inequivalent atoms, fractional coordinates:
La 0.0000 0.5000 0.0000 (multiplicity 2)
Sc 0.0000 0.0000 0.5000 (multiplicity 1)
Os 0.5000 0.5000 0.5000 (multiplicity 1)

Summary:
energy relative to the elements: 0.190 eV per atom

***

# 6
Material: LaSc2Os
Method: DFT, PBE-GGA
State: optimized geometry

a b c (Å): 3.3032 4.5435 6.1571
angles (deg): 90.00 105.12 90.00
Space group P2/m (No. 10)
Inequivalent atoms, fractional coordinates:
La 0.0000 0.0000 0.0000 (multiplicity 1)
Sc 0.3865 0.5000 0.7071 (multiplicity 2)
Os 0.0000 0.0000 0.5000 (multiplicity 1)

Summary:
energy relative to the elements: 0.004 eV per atom

***

# 7
Material: LaSc2Os
Method: DFT, PBE-GGA
State: optimized geometry

a b c (Å): 4.2604 4.2604 4.8806
angles (deg): 90.00 90.00 90.00
Space group P4/mmm (No. 123)
Inequivalent atoms, fractional coordinates:
La 0.0000 0.0000 0.0000 (multiplicity 1)
Sc 0.0000 0.5000 0.5000 (multiplicity 2)
Os 0.5000 0.5000 0.0000 (multiplicity 1)

Summary:
energy relative to the elements: 0.085 eV per atom

***

# 8
Material: LaSc2Os
Method: DFT, PBE-GGA
State: optimized geometry

a b c (Å): 3.3292 3.3292 29.7674
angles (deg): 90.00 90.00 120.00
Space group R-3m (No. 166, hexagonal axes)
Inequivalent atoms, fractional coordinates:
La 0.0000 0.0000 0.0000 (multiplicity 3)
Sc 0.0000 0.0000 0.2298 (multiplicity 6)
Os 0.0000 0.0000 0.5000 (multiplicity 3)

Summary:
energy relative to the elements: 0.050 eV per atom